# 1
# CeCdPtO4, relaxed, DFT PBE
# Raw formation energy (kJ/mol of formula units): -1167
data_CeCdPtO4
_symmetry_space_group_name_H-M 'I m m a'
_symmetry_Int_Tables_number 74
_symmetry_space_group_name_Hall '-I 2b 2'
_cell_length_a 6.3431
_cell_length_b 6.9272
_cell_length_c 9.9835
_cell_angle_alpha 90.00
_cell_angle_beta 90.00
_cell_angle_gamma 90.00
loop_
_atom_site_label
_atom_site_type_symbol
_atom_site_fract_x
_atom_site_fract_y
_atom_site_fract_z
Ce1 Ce 0.0000 0.0000 0.0000
Cd1 Cd 0.0000 0.2500 0.3210
Pt1 Pt 0.2500 0.2500 0.7500
O1 O 0.0000 0.0633 0.7672
O2 O 0.2090 0.2500 0.0643

=====

# 2
# CaLaAl, relaxed, DFT PBE
# Energy of formation from the pure elements (eV per atom): -0.13
# Energy relative to the lowest polymorph listed for this composition (meV/atom): 146.3
data_CaLaAl
_symmetry_space_group_name_H-M 'I 4/m m m'
_symmetry_Int_Tables_number 139
_symmetry_space_group_name_Hall '-I 4 2'
_cell_length_a 3.6018
_cell_length_b 3.6018
_cell_length_c 29.5358
_cell_angle_alpha 90.00
_cell_angle_beta 90.00
_cell_angle_gamma 90.00
loop_
_atom_site_label
_atom_site_type_symbol
_atom_site_fract_x
_atom_site_fract_y
_atom_site_fract_z
Ca1 Ca 0.0000 0.0000 0.1968
La1 La 0.0000 0.0000 0.0648
Al1 Al 0.0000 0.0000 0.3697

=====

# 3
# PrSm2Se, relaxed, DFT PBE
# Raw formation energy (kJ/mol of formula units): -314
# Energy relative to the lowest polymorph listed for this composition (meV/atom): 0.0
data_PrSm2Se
_symmetry_space_group_name_H-M 'R 3 m'
_symmetry_Int_Tables_number 160
_symmetry_space_group_name_Hall 'R 3 -2"'
_cell_length_a 3.9020
_cell_length_b 3.9020
_cell_length_c 29.0800
_cell_angle_alpha 90.00
_cell_angle_beta 90.00
_cell_angle_gamma 120.00
loop_
_atom_site_label
_atom_site_type_symbol
_atom_site_fract_x
_atom_site_fract_y
_atom_site_fract_z
Pr1 Pr 0.0000 0.0000 0.0000
Sm1 Sm 0.0000 0.0000 0.5645
Sm2 Sm 0.0000 0.0000 0.7695
Se1 Se 0.0000 0.0000 0.1671

=====

Number 1: calculated volume 15.667 A^3/atom. Number 2: calculated volume 31.931 A^3/atom. Number 3: calculated volume 31.954 A^3/atom.